Here is a relaxed structure of TlCoRhF6 from Alexandria. Energies are from GGA+U.

```
TlCoRhF6
1.0
5.4530 0.0018 0.0025
2.7285 4.7213 -0.0025
0.0008 -0.0015 6.0778
Tl Co Rh F
1 1 1 6
Cartesian
8.1820 4.7215 6.0777
5.4540 3.1477 3.0388
2.7277 1.5738 3.0388
1.0228 1.6921 1.9570
3.4761 0.0353 1.9599
1.9776 0.0382 4.1207
3.6865 2.9885 1.9565
4.4323 1.6966 4.1211
1.7697 2.9913 4.1177
```

## Properties
* electronic total energy: -4.716 eV/atom
* SG: C2 (5)
* DOS(E_F): 0.0 states/eV per cell